A plane-wave DFT calculation with PBE was carried out for a relaxed structure of Li2HfVS.

Unit cell a=4.289 b=4.289 c=4.959 alpha=90.00 beta=90.00 gamma=90.00
Atoms (fractional coordinates):
Li1 0.000 0.500 0.000
Li2 0.500 0.000 0.000
Hf1 0.000 0.000 0.500
V1 0.500 0.500 0.500
S1 0.000 0.000 0.000

Results
uncorrected formation energy = 0.131 eV per atom
calculated total energy = -5.275 eV/atom
total moment = 0.5 Bohr magnetons per cell
SG = P4/mmm